[1]
Material: KGa2Hg9
Method: DFT, PBE
State: optimized geometry

Cell lengths 4.4449, 9.4089, 9.4080 Å; angles 120.00, 90.00, 90.00 degrees
Last column: nearest neighbours and their distance in Å.
Element x y z (fractional)
K  0.0000  0.0000  0.0000  12 Hg 3.86
Ga  0.0000  0.6667  0.3333  3 Hg 2.72
Ga  0.0000  0.3333  0.6667  3 Hg 2.72
Hg  0.5000  0.8066  0.1934  6 Hg 3.15-3.36, 2 Ga 3.18
Hg  0.0000  0.0000  0.5000  2 Ga 2.72
Hg  0.0000  0.5000  0.5000  2 Ga 2.72
Hg  0.5000  0.8066  0.6132  6 Hg 3.15-3.37, 2 Ga 3.18
Hg  0.5000  0.1934  0.8066  6 Hg 3.15-3.36, 2 Ga 3.18
Hg  0.5000  0.6132  0.8066  6 Hg 3.15-3.37, 2 Ga 3.18
Hg  0.5000  0.1934  0.3868  6 Hg 3.15-3.37, 2 Ga 3.18
Hg  0.0000  0.5000  0.0000  2 Ga 2.72
Hg  0.5000  0.3868  0.1934  6 Hg 3.15-3.37, 2 Ga 3.18

The space group is P6/mmm, No. 191. The value obtained for the total magnetization is 0.00 μB/f.u. The value obtained for the calculated formation energy is -45 meV per atom. As for the volume: 28.39 Å³/atom. For the final energy, the calculation gives -0.8675 eV per atom.

=====

[2]
Material: Na3Pu2NpSe6
Method: DFT, PBE
State: optimized geometry

Cell lengths 7.2871, 7.2871, 7.3432 Å; angles 99.52, 99.52, 120.00 degrees
Last column: nearest neighbours and their distance in Å.
Element x y z (fractional)
Na  0.1671  0.8329  0.5000  6 Se 3.06-3.08
Na  0.8329  0.1671  0.5000  6 Se 3.06-3.08
Na  0.5000  0.5000  0.5000  6 Se 3.06-3.09
Pu  0.3334  0.6666  0.0000  6 Se 2.91-2.92
Pu  0.6666  0.3334  0.0000  6 Se 2.91-2.92
Np  0.0000  0.0000  0.0000  6 Se 2.88
Se  0.9234  0.5935  0.7699  1 Np 2.88, 2 Pu 2.92, 3 Na 3.06-3.08
Se  0.7468  0.7468  0.2297  1 Np 2.88, 2 Pu 2.91, 3 Na 3.06-3.09
Se  0.0766  0.4065  0.2301  1 Np 2.88, 2 Pu 2.92, 3 Na 3.06-3.08
Se  0.5935  0.9234  0.7699  1 Np 2.88, 2 Pu 2.92, 3 Na 3.06-3.08
Se  0.2532  0.2532  0.7703  1 Np 2.88, 2 Pu 2.91, 3 Na 3.06-3.09
Se  0.4065  0.0766  0.2301  1 Np 2.88, 2 Pu 2.92, 3 Na 3.06-3.08

The space group is C2/m, No. 12. The value obtained for the total magnetization is 14.00 μB/f.u. As for the volume: 26.56 Å³/atom. The calculation puts the formation energy from raw total energies at -1355 meV/atom. For the final energy, the calculation gives -6.8938 eV per atom.